LaReP2, optimized geometry, DFT PBE; calculated formation energy = -54.96 kJ/mol of atoms; total magnetization = 0.00 μB/f.u.; offset from the most stable computed form = 225 meV per atom; total DFT energy (no corrections) = -60.948 eV/cell
1.0
4.441 0.000 0.000
0.000 3.833 0.000
0.000 0.000 10.611
La Re P
2 2 4
direct
0.000 0.000 0.000 La
0.000 0.500 0.500 La
0.500 0.000 0.232 Re
0.500 0.500 0.732 Re
0.000 0.000 0.284 P
0.000 0.500 0.784 P
0.500 0.000 0.607 P
0.500 0.500 0.107 P

=====

InAgW2, optimized geometry, DFT PBE; calculated formation energy = 67.79 kJ/mol of atoms; total magnetization = 0.00 μB/f.u.; total DFT energy (no corrections) = -114.743 eV/cell
1.0
6.560 0.000 0.000
0.000 6.560 0.000
0.000 0.000 6.560
In Ag W
4 4 8
direct
0.000 0.000 0.000 In
0.000 0.500 0.500 In
0.500 0.000 0.500 In
0.500 0.500 0.000 In
0.250 0.250 0.250 Ag
0.250 0.750 0.750 Ag
0.750 0.250 0.750 Ag
0.750 0.750 0.250 Ag
0.000 0.000 0.500 W
0.000 0.500 0.000 W
0.250 0.250 0.750 W
0.250 0.750 0.250 W
0.500 0.000 0.000 W
0.500 0.500 0.500 W
0.750 0.250 0.250 W
0.750 0.750 0.750 W

=====

SiSb2, optimized geometry, DFT PBE; total magnetization = 0.00 μB/f.u.; raw formation energy = 0.2774 eV per atom; offset from the most stable computed form = 96 meV per atom; total DFT energy (no corrections) = -51.342 eV/cell
1.0
12.338 0.000 0.000
0.000 3.900 0.000
-5.181 0.000 6.611
Si Sb
4 8
direct
0.234 0.000 0.162 Si
0.266 0.500 0.838 Si
0.734 0.500 0.162 Si
0.766 0.000 0.838 Si
0.076 0.000 0.761 Sb
0.155 0.500 0.305 Sb
0.345 0.000 0.695 Sb
0.424 0.500 0.239 Sb
0.576 0.500 0.761 Sb
0.655 0.000 0.305 Sb
0.845 0.500 0.695 Sb
0.924 0.000 0.239 Sb

=====

KAlN2O, optimized geometry, DFT PBE; total magnetization = 4.01 μB/f.u.; raw formation energy = 0.0134 eV per atom; total DFT energy (no corrections) = -26.382 eV/cell
1.0
4.102 0.000 0.000
0.000 4.102 0.000
0.000 0.000 3.797
K Al N O
1 1 2 1
direct
0.000 0.000 0.000 K
0.500 0.500 0.500 Al
0.000 0.500 0.500 N
0.500 0.000 0.500 N
0.500 0.500 0.000 O

=====

Q: Which of these has the highest total DFT energy (no corrections)?
A: KAlN2O